An optimized crystal structure of Cs2RbLuCl6. Source: OQMD, functional PBE.

a b c (Å): 11.301 11.301 11.301
angles (deg): 90.00 90.00 90.00
Space group Fm-3m (No. 225)
Unique sites:
1 Cs 0.250 0.250 0.250 x8
2 Rb 0.000 0.000 0.000 x4
3 Lu 0.000 0.000 0.500 x4
4 Cl 0.000 0.000 0.272 x24

## Properties
For the calculated volume, the calculation gives 36.1 Å³ per atom. As for the calculated total energy: -3.97 eV per atom.


An optimized crystal structure of Ba2AgSb. Source: OQMD, functional PBE.

a b c (Å): 8.143 8.143 8.143
angles (deg): 90.00 90.00 90.00
Space group F-43m (No. 216)
Unique sites:
1 Ba 0.000 0.000 0.000 x4
2 Ba 0.250 0.250 0.250 x4
3 Ag 0.250 0.250 0.750 x4
4 Sb 0.000 0.000 0.500 x4

## Properties
For the calculated volume, the calculation gives 33.7 Å³ per atom. As for the calculated total energy: -2.95 eV per atom.